! Be2SnAu, optimized geometry, DFT GGA-PBE; values from VASP
&SYSTEM
  ibrav = 0, nat = 4, ntyp = 3
/
ATOMIC_SPECIES
Au 196.97 Au.upf
Be 9.01 Be.upf
Sn 118.71 Sn.upf
ATOMIC_POSITIONS angstrom
Au 1.5988 1.5988 1.5988
Be 4.7965 4.7965 4.7965
Be 0.0000 0.0000 0.0000
Sn 3.1976 3.1976 3.1976
CELL_PARAMETERS angstrom
0.0000 3.1976 3.1976
3.1976 0.0000 3.1976
3.1976 3.1976 0.0000
! space group = F-43m (216)
! final energy = -3.085 eV per atom


! SrSmAlTe3, optimized geometry, DFT GGA-PBE; values from VASP
&SYSTEM
  ibrav = 0, nat = 12, ntyp = 4
/
ATOMIC_SPECIES
Sr 87.62 Sr.upf
Te 127.60 Te.upf
Sm 150.36 Sm.upf
Al 26.98 Al.upf
ATOMIC_POSITIONS angstrom
Sr 2.1861 -4.3091 2.7216
Sr 2.1861 4.3091 8.1648
Te 2.1861 -2.2417 6.0624
Te 2.1861 2.2417 0.6192
Te 2.1861 -6.2741 8.1648
Te 2.1861 6.2741 2.7216
Te 2.1861 -2.2417 10.2673
Te 2.1861 2.2417 4.8241
Sm 0.0000 0.0000 5.4432
Sm 0.0000 0.0000 0.0000
Al 2.1861 0.2828 2.7216
Al 2.1861 -0.2828 8.1648
CELL_PARAMETERS angstrom
2.1861 -7.9972 0.0000
2.1861 7.9972 0.0000
0.0000 0.0000 10.8864
! space group = Cmcm (63)
! final energy = -4.230 eV per atom
! magnetic moment = 0.0 μB/f.u.


! MgNbCdCo, optimized geometry, DFT GGA-PBE; values from VASP
&SYSTEM
  ibrav = 0, nat = 4, ntyp = 4
/
ATOMIC_SPECIES
Co 58.93 Co.upf
Cd 112.41 Cd.upf
Nb 92.91 Nb.upf
Mg 24.30 Mg.upf
ATOMIC_POSITIONS angstrom
Co -0.7510 1.7441 1.9809
Cd 0.0000 0.0000 0.0000
Nb -1.5019 3.4883 3.9618
Mg -2.2529 5.2324 5.9426
CELL_PARAMETERS angstrom
0.9138 1.4458 4.1417
-0.5829 4.3183 1.0452
-3.3348 1.2125 2.7366
! space group = F-43m (216)
! magnetic moment = 0.0 μB/f.u.
! relative energy among the computed polymorphs = 0 meV per atom


! Y3Lu4Fe2Te2, optimized geometry, DFT GGA-PBE; values from VASP
&SYSTEM
  ibrav = 0, nat = 11, ntyp = 4
/
ATOMIC_SPECIES
Lu 174.97 Lu.upf
Y 88.91 Y.upf
Fe 55.84 Fe.upf
Te 127.60 Te.upf
ATOMIC_POSITIONS angstrom
Lu 1.9369 2.1525 3.5917
Lu 0.0000 12.6914 0.9319
Lu 1.9369 -2.1525 3.5917
Lu 0.0000 2.8936 0.9319
Y 0.0000 7.7925 4.3872
Y 1.9369 5.4306 2.1645
Y 0.0000 2.3619 6.7486
Fe 1.9369 3.7174 -0.7990
Fe 0.0000 4.0751 3.7852
Te 0.0000 0.0000 2.2582
Te 0.0000 7.7925 1.2525
CELL_PARAMETERS angstrom
-1.9369 7.7925 4.5841
1.9369 -7.7925 4.5841
1.9369 7.7925 -4.5841
! space group = Imm2 (44)
! final energy = -5.998 eV per atom
! magnetic moment = 0.8 μB/f.u.


! Hf3InGe5, optimized geometry, DFT GGA-PBE; values from VASP
&SYSTEM
  ibrav = 0, nat = 9, ntyp = 3
/
ATOMIC_SPECIES
Ge 72.64 Ge.upf
Hf 178.49 Hf.upf
In 114.82 In.upf
ATOMIC_POSITIONS angstrom
Ge 2.9133 1.6820 5.6920
Ge 0.0000 3.3640 5.6920
Ge 0.0000 0.0000 3.4557
Ge 0.0000 3.3640 1.2194
Ge 2.9133 1.6820 1.2194
Hf -1.4566 2.5230 3.4557
Hf 1.4566 2.5230 3.4557
Hf 2.9133 0.0000 3.4557
In 0.0000 0.0000 0.0000
CELL_PARAMETERS angstrom
5.8266 0.0000 0.0000
-2.9133 5.0460 0.0000
0.0000 0.0000 6.9114
! space group = P6/mmm (191)
! final energy = -6.172 eV per atom
! magnetic moment = 0.0 μB/f.u.


! AcTmO3, optimized geometry, DFT GGA-PBE; values from VASP
&SYSTEM
  ibrav = 0, nat = 10, ntyp = 3
/
ATOMIC_SPECIES
Tm 168.93 Tm.upf
O 16.00 O.upf
Ac 227.00 Ac.upf
ATOMIC_POSITIONS angstrom
Tm 0.0000 0.0000 -11.7868
Tm 0.0000 0.0000 -3.9289
O -1.0561 -1.8130 -9.1675
O -2.0982 0.0081 -6.5482
O -1.0421 1.8211 -9.1675
O 1.0561 1.8130 -6.5482
O 2.0982 -0.0081 -9.1675
O 1.0421 -1.8211 -6.5482
Ac 0.0000 0.0000 0.0000
Ac 0.0000 0.0000 -7.8579
CELL_PARAMETERS angstrom
3.1402 -1.8130 -5.2386
-3.1402 -1.8130 -5.2386
0.0000 3.6260 -5.2386
! space group = R-3c (167)
! final energy = -7.821 eV per atom
! magnetic moment = 0.0 μB/f.u.


! TlNiB4, optimized geometry, DFT GGA-PBE; values from VASP
&SYSTEM
  ibrav = 0, nat = 6, ntyp = 3
/
ATOMIC_SPECIES
Tl 204.38 Tl.upf
B 10.81 B.upf
Ni 58.69 Ni.upf
ATOMIC_POSITIONS angstrom
Tl 0.0000 0.0000 4.1705
B 1.5219 0.8787 6.9302
B 1.5219 0.8787 1.4107
B 0.0000 1.7574 1.4107
B 0.0000 1.7574 6.9302
Ni 0.0000 0.0000 0.0000
CELL_PARAMETERS angstrom
3.0439 0.0000 0.0000
-1.5219 2.6361 0.0000
0.0000 0.0000 8.3409
! space group = P6/mmm (191)
! magnetic moment = 0.0 μB/f.u.
! relative energy among the computed polymorphs = 0 meV per atom


! Rb2ErInO4, optimized geometry, DFT GGA-PBE; values from VASP
&SYSTEM
  ibrav = 0, nat = 8, ntyp = 4
/
ATOMIC_SPECIES
Rb 85.47 Rb.upf
O 16.00 O.upf
Er 167.26 Er.upf
In 114.82 In.upf
ATOMIC_POSITIONS angstrom
Rb -1.6981 2.6386 1.9919
Rb -0.7236 5.8622 7.8684
O -1.2723 -0.1487 1.8620
O -1.4151 5.7383 5.0892
O -1.1494 8.6495 7.9982
O -1.0066 2.7626 4.7710
Er 0.4124 4.5177 4.5143
In 0.0000 0.0000 0.0000
CELL_PARAMETERS angstrom
-2.4582 1.7622 -1.5390
-0.7882 -2.2969 2.3706
0.8248 9.0354 9.0286
! space group = P-3m1 (164)
! final energy = -5.733 eV per atom
! magnetic moment = 0.0 μB/f.u.


! Ba2LiTcS6, optimized geometry, DFT GGA-PBE; values from VASP
&SYSTEM
  ibrav = 0, nat = 10, ntyp = 4
/
ATOMIC_SPECIES
Ba 137.33 Ba.upf
S 32.06 S.upf
Li 6.94 Li.upf
Tc 98.00 Tc.upf
ATOMIC_POSITIONS angstrom
Ba -2.5332 -3.0437 1.2646
Ba -2.4859 -1.1298 -3.1344
S -0.1085 -2.1837 -0.9086
S -0.1934 -3.3884 -4.1267
S -4.9106 -1.9899 -0.9612
S -4.8258 -0.7852 2.2568
S -7.2313 0.3317 0.0665
S -2.3688 0.1086 0.0218
Li -4.8000 0.2202 0.0442
Tc 0.0000 0.0000 0.0000
CELL_PARAMETERS angstrom
-4.8473 -1.6937 4.4431
-4.7527 2.1340 -4.3548
4.5809 -4.6139 -1.9581
! space group = I4/m (87)
! final energy = -5.056 eV per atom
! magnetic moment = 0.0 μB/f.u.


! Ho5Mg, optimized geometry, DFT GGA-PBE; values from VASP
&SYSTEM
  ibrav = 0, nat = 6, ntyp = 2
/
ATOMIC_SPECIES
Ho 164.93 Ho.upf
Mg 24.30 Mg.upf
ATOMIC_POSITIONS angstrom
Ho -1.1259 -2.8298 8.0990
Ho -0.1697 -0.6628 5.5410
Ho -0.9542 -2.1590 2.4914
Ho -0.3408 -1.3313 11.1288
Ho -0.5076 -1.9829 16.5760
Mg -1.2945 -3.4886 13.6066
CELL_PARAMETERS angstrom
-2.9050 -1.9928 -0.3273
3.1990 -1.5091 -0.0826
-0.5090 -1.9885 16.6229
! space group = P-6m2 (187)
! magnetic moment = 0.6 μB/f.u.
! relative energy among the computed polymorphs = 0 meV per atom


! KPrAu, optimized geometry, DFT GGA-PBE; values from VASP
&SYSTEM
  ibrav = 0, nat = 3, ntyp = 3
/
ATOMIC_SPECIES
Au 196.97 Au.upf
K 39.10 K.upf
Pr 140.91 Pr.upf
ATOMIC_POSITIONS angstrom
Au -1.7367 -2.6592 -0.0930
K -5.2101 -7.9775 -0.2790
Pr 0.0000 0.0000 0.0000
CELL_PARAMETERS angstrom
-0.1321 -5.0214 1.3002
-4.4770 -2.1888 1.4450
-2.3377 -3.4264 -3.1172
! space group = F-43m (216)
! magnetic moment = 0.3 μB/f.u.
! relative energy among the computed polymorphs = 0 meV per atom


! YH3Pt, optimized geometry, DFT GGA-PBE; values from VASP
&SYSTEM
  ibrav = 0, nat = 10, ntyp = 3
/
ATOMIC_SPECIES
H 1.01 H.upf
Pt 195.08 Pt.upf
Y 88.91 Y.upf
ATOMIC_POSITIONS angstrom
H 5.5785 3.7151 3.7151
H 3.7151 3.7151 1.8517
H 3.7151 1.8517 3.7151
H 1.8517 3.7151 3.7151
H 3.7151 5.5785 3.7151
H 3.7151 3.7151 5.5785
Pt 0.0000 0.0000 0.0000
Pt 3.7151 3.7151 3.7151
Y 5.5726 5.5726 5.5726
Y 1.8575 1.8575 1.8575
CELL_PARAMETERS angstrom
0.0000 3.7151 3.7151
3.7151 0.0000 3.7151
3.7151 3.7151 0.0000
! space group = Fm-3m (225)
! final energy = -5.007 eV per atom
! magnetic moment = 0.0 μB/f.u.